Record 1
Below is Dy4InTe2As after structural relaxation, with properties calculated at the GGA-PBE level.

Lattice parameters (Å, degrees): 7.5333 4.2122 7.5397 90.00 108.47 90.00
Closest atoms and distances in Å follow each position.
Element x y z (fractional)
Dy1 0.2343 0.0000 0.2240  2 As 2.92, 1 In 3.00, 3 Te 3.13-3.18
Dy2 0.2459 0.5000 0.7625  1 As 2.96, 2 In 3.02, 3 Te 3.08-3.16
Dy3 0.7541 0.5000 0.2375  1 As 2.96, 2 In 3.02, 3 Te 3.08-3.16
Dy4 0.7657 0.0000 0.7760  2 As 2.92, 1 In 3.00, 3 Te 3.13-3.18
In1 0.5000 0.0000 0.0000  6 Dy 3.00-3.02
Te1 0.0000 0.0000 0.5000  6 Dy 3.08-3.13
Te2 0.5000 0.5000 0.5000  6 Dy 3.16-3.18
As1 0.0000 0.5000 0.0000  6 Dy 2.92-2.96

Summary:
Its raw formation energy is -109.49 kJ per mole of atoms. As for the space-group type: P2/m (10).



Record 2
Below is DyAs2Ir3 after structural relaxation, with properties calculated at the GGA-PBE level.

Lattice parameters (Å, degrees): 8.4828 8.4828 9.8942 106.94 106.94 27.36
Closest atoms and distances in Å follow each position.
Element x y z (fractional)
Dy1 0.0000 0.0000 0.0000  6 Ir 3.04-3.14, 6 As 3.10-3.17
Dy2 0.1563 0.1563 0.6974  6 As 3.05-3.23, 7 Ir 3.14-3.39
Dy3 0.8437 0.8437 0.3026  6 As 3.05-3.23, 7 Ir 3.14-3.39
As1 0.1958 0.1958 0.1288  6 Ir 2.43-2.63
As2 0.3631 0.3631 0.5423  5 Ir 2.36-2.63
As3 0.4596 0.4596 0.2190  4 Ir 2.38-2.66
As4 0.5404 0.5404 0.7810  4 Ir 2.38-2.66
As5 0.6369 0.6369 0.4577  5 Ir 2.36-2.63
As6 0.8042 0.8042 0.8712  6 Ir 2.43-2.63
Ir1 0.0399 0.0399 0.3210  4 As 2.45-2.67
Ir2 0.2216 0.2216 0.3924  4 As 2.36-2.63
Ir3 0.3220 0.3220 0.0497  4 As 2.38-2.63
Ir4 0.3755 0.3755 0.7940  3 As 2.44-2.56
Ir5 0.5000 0.5000 0.5000  4 As 2.42-2.66
Ir6 0.6245 0.6245 0.2060  3 As 2.44-2.56
Ir7 0.6780 0.6780 0.9503  4 As 2.38-2.63
Ir8 0.7784 0.7784 0.6076  4 As 2.36-2.63
Ir9 0.9601 0.9601 0.6790  4 As 2.45-2.67

Summary:
As for the space-group type: C2/m (12). The value obtained for the energy of formation is -589 meV/atom.



Record 3
Below is DyAs2Ir after structural relaxation, with properties calculated at the GGA-PBE level.

Lattice parameters (Å, degrees): 6.0105 6.0105 6.0105 39.11 39.11 39.11
Closest atoms and distances in Å follow each position.
Element x y z (fractional)
Dy1 0.0000 0.0000 0.0000  6 As 2.87
As1 0.2319 0.2319 0.2319  3 Ir 2.56, 3 Dy 2.87
As2 0.7681 0.7681 0.7681  3 Ir 2.56, 3 Dy 2.87
Ir1 0.5000 0.5000 0.5000  6 As 2.56

Summary:
As for the space-group type: R-3m (166). The value obtained for the energy of formation is -792 meV/atom.



Record 4
Below is DyAsIr after structural relaxation, with properties calculated at the GGA-PBE level.

Lattice parameters (Å, degrees): 4.2794 4.2794 3.7750 90.00 90.00 120.00
Closest atoms and distances in Å follow each position.
Element x y z (fractional)
Dy1 0.0000 0.0000 0.0000  6 Ir 3.11, 6 As 3.11
As1 0.3333 0.6667 0.5000  3 Ir 2.47
Ir1 0.6667 0.3333 0.5000  3 As 2.47

Summary:
As for the space-group type: P-6m2 (187). The value obtained for the energy of formation is -939 meV/atom.



Record 5
Below is Dy3AsP2Ir9 after structural relaxation, with properties calculated at the GGA-PBE level.

Lattice parameters (Å, degrees): 6.1257 6.1257 8.8370 90.00 90.00 120.00
Closest atoms and distances in Å follow each position.
Element x y z (fractional)
Dy1 0.0000 0.0000 0.0000  12 Ir 2.92-3.06
Dy2 0.3333 0.6667 0.7065  9 Ir 3.07-3.14
Dy3 0.6667 0.3333 0.2935  9 Ir 3.07-3.14
As1 0.0000 0.0000 0.5000  6 Ir 2.49
P1 0.3333 0.6667 0.1713  6 Ir 2.20-2.33
P2 0.6667 0.3333 0.8287  6 Ir 2.20-2.33
Ir1 0.0000 0.5000 0.0000  2 P 2.33
Ir2 0.1466 0.2932 0.2799  1 P 2.20
Ir3 0.1466 0.8534 0.2799  1 P 2.20
Ir4 0.2932 0.1466 0.7201  1 P 2.20
Ir5 0.5000 0.0000 0.0000  2 P 2.33
Ir6 0.5000 0.5000 0.0000  2 P 2.33
Ir7 0.7068 0.8534 0.2799  1 P 2.20
Ir8 0.8534 0.1466 0.7201  1 P 2.20
Ir9 0.8534 0.7068 0.7201  1 P 2.20

Summary:
As for the space-group type: P-3m1 (164). The value obtained for the energy of formation is -358 meV/atom.



Record 6
Below is DyAs2IrRh5 after structural relaxation, with properties calculated at the GGA-PBE level.

Lattice parameters (Å, degrees): 3.9092 3.9092 11.2498 90.00 90.00 90.00
Closest atoms and distances in Å follow each position.
Element x y z (fractional)
Dy1 0.0000 0.0000 0.0000  4 Rh 2.76
As1 0.5000 0.5000 0.2122  5 Rh 2.39-2.50
As2 0.5000 0.5000 0.7878  5 Rh 2.39-2.50
Ir1 0.5000 0.5000 0.5000  8 Rh 2.58
Rh1 0.0000 0.5000 0.3502  2 As 2.50, 2 Ir 2.58, 4 Rh 2.76
Rh2 0.0000 0.5000 0.6498  2 As 2.50, 2 Ir 2.58, 4 Rh 2.76
Rh3 0.5000 0.0000 0.3502  2 As 2.50, 2 Ir 2.58, 4 Rh 2.76
Rh4 0.5000 0.0000 0.6498  2 As 2.50, 2 Ir 2.58, 4 Rh 2.76
Rh5 0.5000 0.5000 0.0000  2 As 2.39

Summary:
As for the space-group type: P4/mmm (123). The value obtained for the energy of formation is -106 meV/atom.



Going through the records in order, we get V values of 28.37, 17.34, 19.43, 19.96, 19.14, 19.10 Å³/atom.